# 1
Density functional theory data (GGA-PBEsol) for a geometry-optimized Sm2O structure.

Computed properties:
Raw formation energy ... -1.914 eV per atom
Symmetry ... I4_1/amd, No. 141
E ... -42.4 eV/cell

a b c (Å): 6.3489 6.3489 6.3489
angles (deg): 135.31 135.31 65.05
Atoms (fractional coordinates):
Sm  0.1095  0.3595  0.7500
Sm  0.3595  0.1095  0.2500
Sm  0.6405  0.8905  0.7500
Sm  0.8905  0.6405  0.2500
O  0.1250  0.8750  0.2500
O  0.8750  0.1250  0.7500

# 2
Density functional theory data (GGA-PBEsol) for a geometry-optimized CrCdTc structure.

Computed properties:
Symmetry ... F-43m, No. 216
E ... -19.4 eV/cell
Energy of formation ... 25.3 kcal/mol of atoms

a b c (Å): 4.2611 4.2611 4.2611
angles (deg): 60.00 60.00 60.00
Atoms (fractional coordinates):
Cr  0.0000  0.0000  0.0000
Cd  0.5000  0.5000  0.5000
Tc  0.7500  0.7500  0.7500

# 3
Density functional theory data (GGA-PBEsol) for a geometry-optimized Mn2FeN2 structure.

Computed properties:
Raw formation energy ... -0.288 eV per atom
Symmetry ... I4/mmm, No. 139
E ... -47.0 eV/cell

a b c (Å): 5.9278 5.9278 5.9278
angles (deg): 152.73 152.73 38.95
Atoms (fractional coordinates):
Mn  0.1516  0.1516  0.0000
Mn  0.8484  0.8484  0.0000
Fe  0.5000  0.5000  0.0000
N  0.3360  0.3360  0.0000
N  0.6640  0.6640  0.0000

# 4
Density functional theory data (GGA-PBEsol) for a geometry-optimized LiRhW2 structure.

Computed properties:
Symmetry ... Pm, No. 6
E ... -37.0 eV/cell
Energy of formation ... 4.3 kcal/mol of atoms

a b c (Å): 2.6697 4.2374 5.0293
angles (deg): 90.00 97.40 90.00
Atoms (fractional coordinates):
Li  0.0000  0.0000  0.0000
Rh  0.8832  0.5000  0.2530
W  0.3240  0.5000  0.7763
W  0.5461  0.0000  0.4938

Density of states at the Fermi level, respectively: 1.8 3.3 2.9 2.8 states/eV/f.u..